Below is MgScTc at its PBEsol-relaxed geometry, with properties calculated at the SCAN level.

Cell lengths 3.337, 3.337, 5.379 Å; angles 108.07, 108.07, 90.00 degrees
Sites, in units of the cell vectors:
Tc (0.326, 0.326, 0.652)
Sc (0.690, 0.690, 0.380)
Mg (0.984, 0.984, 0.968)

Values from the calculation:
* space group: I4mm (107)
* formation energy: 0.023 eV/atom
* M_tot: 0.000 μB/f.u.
* calculated volume: 53.8 Å³/cell